# Ir3RuRh12, optimized geometry, DFT PBE
# Density of states at the Fermi level = 1.14 states/eV/atom
# DFT formation energy = 0.006 eV per atom
# Density = 13.97 g cm⁻³
data_Ir3RuRh12
_chemical_formula_sum 'Ir3 Ru1 Rh12'
_symmetry_space_group_name_H-M 'P 4/m m m'
_symmetry_Int_Tables_number 123
_symmetry_space_group_name_Hall '-P 4 2'
_cell_length_a 3.846
_cell_length_b 3.846
_cell_length_c 15.367
_cell_angle_alpha 90.00
_cell_angle_beta 90.00
_cell_angle_gamma 90.00
loop_
_atom_site_label
_atom_site_type_symbol
_atom_site_fract_x
_atom_site_fract_y
_atom_site_fract_z
Ir1 Ir 0.000 0.000 0.000
Ir2 Ir 0.000 0.000 0.250
Ru1 Ru 0.000 0.000 0.500
Rh1 Rh 0.000 0.500 0.125
Rh2 Rh 0.000 0.500 0.376
Rh3 Rh 0.500 0.500 0.000
Rh4 Rh 0.500 0.500 0.251
Rh5 Rh 0.500 0.500 0.500

=====

# Ir3RuRh4, optimized geometry, DFT PBE
# Density of states at the Fermi level = 1.28 states/eV/atom
# Energy relative to the lowest polymorph listed for this composition = 0.0000 eV/atom
# DFT formation energy = 0.243 eV per atom
# Density = 15.37 g cm⁻³
data_Ir3RuRh4
_chemical_formula_sum 'Ir6 Ru2 Rh8'
_symmetry_space_group_name_H-M 'I m m m'
_symmetry_Int_Tables_number 71
_symmetry_space_group_name_Hall '-I 2 2'
_cell_length_a 2.673
_cell_length_b 8.924
_cell_length_c 9.871
_cell_angle_alpha 90.00
_cell_angle_beta 90.00
_cell_angle_gamma 90.00
loop_
_atom_site_label
_atom_site_type_symbol
_atom_site_fract_x
_atom_site_fract_y
_atom_site_fract_z
Ir1 Ir 0.000 0.000 0.000
Ir2 Ir 0.000 0.500 0.228
Ru1 Ru 0.000 0.000 0.500
Rh1 Rh 0.000 0.254 0.370

=====

# Ir4Ru6Rh, optimized geometry, DFT PBE
# Density of states at the Fermi level = 1.29 states/eV/atom
# DFT formation energy = 0.518 eV per atom
# Density = 14.32 g cm⁻³
data_Ir4Ru6Rh
_chemical_formula_sum 'Ir8 Ru12 Rh2'
_symmetry_space_group_name_H-M 'I -4 2 m'
_symmetry_Int_Tables_number 121
_symmetry_space_group_name_Hall 'I -4 2'
_cell_length_a 5.199
_cell_length_b 5.199
_cell_length_c 12.679
_cell_angle_alpha 90.00
_cell_angle_beta 90.00
_cell_angle_gamma 90.00
loop_
_atom_site_label
_atom_site_type_symbol
_atom_site_fract_x
_atom_site_fract_y
_atom_site_fract_z
Ir1 Ir 0.198 0.198 0.163
Ru1 Ru 0.000 0.500 0.000
Ru2 Ru 0.186 0.186 0.357
Rh1 Rh 0.000 0.000 0.000

=====

# Ir2RuRh, optimized geometry, DFT PBE
# Density of states at the Fermi level = 1.42 states/eV/atom
# Energy relative to the lowest polymorph listed for this composition = 0.0213 eV/atom
# DFT formation energy = -0.005 eV per atom
# Density = 17.11 g cm⁻³
data_Ir2RuRh
_chemical_formula_sum 'Ir2 Ru1 Rh1'
_symmetry_space_group_name_H-M 'P 4/m m m'
_symmetry_Int_Tables_number 123
_symmetry_space_group_name_Hall '-P 4 2'
_cell_length_a 3.854
_cell_length_b 3.854
_cell_length_c 3.845
_cell_angle_alpha 90.00
_cell_angle_beta 90.00
_cell_angle_gamma 90.00
loop_
_atom_site_label
_atom_site_type_symbol
_atom_site_fract_x
_atom_site_fract_y
_atom_site_fract_z
Ir1 Ir 0.000 0.500 0.000
Ru1 Ru 0.000 0.000 0.500
Rh1 Rh 0.500 0.500 0.500

=====

# Ir4RuRh6, optimized geometry, DFT PBE
# Density of states at the Fermi level = 1.01 states/eV/atom
# DFT formation energy = 0.370 eV per atom
# Density = 14.24 g cm⁻³
data_Ir4RuRh6
_chemical_formula_sum 'Ir8 Ru2 Rh12'
_symmetry_space_group_name_H-M 'I -4 2 m'
_symmetry_Int_Tables_number 121
_symmetry_space_group_name_Hall 'I -4 2'
_cell_length_a 5.197
_cell_length_b 5.197
_cell_length_c 12.840
_cell_angle_alpha 90.00
_cell_angle_beta 90.00
_cell_angle_gamma 90.00
loop_
_atom_site_label
_atom_site_type_symbol
_atom_site_fract_x
_atom_site_fract_y
_atom_site_fract_z
Ir1 Ir 0.198 0.198 0.157
Ru1 Ru 0.000 0.000 0.000
Rh1 Rh 0.000 0.500 0.000
Rh2 Rh 0.185 0.185 0.350

=====

# Ir3RuRh3, optimized geometry, DFT PBE
# Density of states at the Fermi level = 1.31 states/eV/atom
# Energy relative to the lowest polymorph listed for this composition = 0.4108 eV/atom
# DFT formation energy = 0.703 eV per atom
# Density = 11.25 g cm⁻³
data_Ir3RuRh3
_chemical_formula_sum 'Ir6 Ru2 Rh6'
_symmetry_space_group_name_H-M 'P 63/m'
_symmetry_Int_Tables_number 176
_symmetry_space_group_name_Hall '-P 6c'
_cell_length_a 11.3009
_cell_length_b 11.3009
_cell_length_c 2.6339
_cell_angle_alpha 90.00
_cell_angle_beta 90.00
_cell_angle_gamma 120.00
loop_
_atom_site_label
_atom_site_type_symbol
_atom_site_fract_x
_atom_site_fract_y
_atom_site_fract_z
Ir1 Ir 0.1418 0.7188 0.2500
Ru1 Ru 0.3333 0.6667 0.2500
Rh1 Rh 0.0757 0.4515 0.2500

=====

# Ir2RuRh, optimized geometry, DFT PBE
# Density of states at the Fermi level = 1.63 states/eV/atom
# Energy relative to the lowest polymorph listed for this composition = 0.3525 eV/atom
# DFT formation energy = 0.326 eV per atom
# Density = 16.54 g cm⁻³
data_Ir2RuRh
_chemical_formula_sum 'Ir4 Ru2 Rh2'
_symmetry_space_group_name_H-M 'C m m m'
_symmetry_Int_Tables_number 65
_symmetry_space_group_name_Hall '-C 2 2'
_cell_length_a 2.698
_cell_length_b 4.670
_cell_length_c 9.377
_cell_angle_alpha 90.00
_cell_angle_beta 90.00
_cell_angle_gamma 90.00
loop_
_atom_site_label
_atom_site_type_symbol
_atom_site_fract_x
_atom_site_fract_y
_atom_site_fract_z
Ir1 Ir 0.000 0.000 0.248
Ru1 Ru 0.000 0.500 0.000
Rh1 Rh 0.000 0.500 0.500

=====

# Ir15Ru4Rh, optimized geometry, DFT PBE
# Density of states at the Fermi level = 1.03 states/eV/atom
# DFT formation energy = -0.036 eV per atom
# Density = 19.58 g cm⁻³
data_Ir15Ru4Rh
_chemical_formula_sum 'Ir15 Ru4 Rh1'
_symmetry_space_group_name_H-M 'P 4/m m m'
_symmetry_Int_Tables_number 123
_symmetry_space_group_name_Hall '-P 4 2'
_cell_length_a 3.861
_cell_length_b 3.861
_cell_length_c 19.287
_cell_angle_alpha 90.00
_cell_angle_beta 90.00
_cell_angle_gamma 90.00
loop_
_atom_site_label
_atom_site_type_symbol
_atom_site_fract_x
_atom_site_fract_y
_atom_site_fract_z
Ir1 Ir 0.000 0.000 0.000
Ir2 Ir 0.000 0.000 0.201
Ir3 Ir 0.000 0.000 0.400
Ir4 Ir 0.000 0.500 0.101
Ir5 Ir 0.000 0.500 0.300
Ir6 Ir 0.000 0.500 0.500
Ru1 Ru 0.500 0.500 0.199
Ru2 Ru 0.500 0.500 0.400
Rh1 Rh 0.500 0.500 0.000

=====

# Ir2RuRh, optimized geometry, DFT PBE
# Density of states at the Fermi level = 1.92 states/eV/atom
# Energy relative to the lowest polymorph listed for this composition = 0.0609 eV/atom
# DFT formation energy = 0.034 eV per atom
# Density = 17.04 g cm⁻³
data_Ir2RuRh
_chemical_formula_sum 'Ir6 Ru3 Rh3'
_symmetry_space_group_name_H-M 'R -3 m'
_symmetry_Int_Tables_number 166
_symmetry_space_group_name_Hall '-R 3 2"'
_cell_length_a 2.7371
_cell_length_b 2.7371
_cell_length_c 26.5163
_cell_angle_alpha 90.00
_cell_angle_beta 90.00
_cell_angle_gamma 120.00
loop_
_atom_site_label
_atom_site_type_symbol
_atom_site_fract_x
_atom_site_fract_y
_atom_site_fract_z
Ir1 Ir 0.0000 0.0000 0.2488
Ru1 Ru 0.0000 0.0000 0.5000
Rh1 Rh 0.0000 0.0000 0.0000

=====

# Ir2Ru4Rh5, optimized geometry, DFT PBE
# Density of states at the Fermi level = 1.25 states/eV/atom
# Energy relative to the lowest polymorph listed for this composition = 0.0000 eV/atom
# DFT formation energy = 0.177 eV per atom
# Density = 13.14 g cm⁻³
data_Ir2Ru4Rh5
_chemical_formula_sum 'Ir2 Ru4 Rh5'
_symmetry_space_group_name_H-M 'P 1 m 1'
_symmetry_Int_Tables_number 6
_symmetry_space_group_name_Hall 'P -2y'
_cell_length_a 4.685
_cell_length_b 5.399
_cell_length_c 6.694
_cell_angle_alpha 90.00
_cell_angle_beta 103.35
_cell_angle_gamma 90.00
loop_
_atom_site_label
_atom_site_type_symbol
_atom_site_fract_x
_atom_site_fract_y
_atom_site_fract_z
Ir1 Ir 0.000 0.000 0.000
Ir2 Ir 0.233 0.000 0.675
Ru1 Ru 0.509 0.249 0.004
Ru2 Ru 0.726 0.262 0.668
Rh1 Rh 0.002 0.500 0.005
Rh2 Rh 0.219 0.500 0.671
Rh3 Rh 0.283 0.256 0.339
Rh4 Rh 0.785 0.000 0.341

=====

# Ir2RuRh, optimized geometry, DFT PBE
# Density of states at the Fermi level = 1.39 states/eV/atom
# Energy relative to the lowest polymorph listed for this composition = 0.3620 eV/atom
# DFT formation energy = 0.336 eV per atom
# Density = 16.55 g cm⁻³
data_Ir2RuRh
_chemical_formula_sum 'Ir4 Ru2 Rh2'
_symmetry_space_group_name_H-M 'C 1 2/m 1'
_symmetry_Int_Tables_number 12
_symmetry_space_group_name_Hall '-C 2y'
_cell_length_a 5.387
_cell_length_b 9.371
_cell_length_c 2.702
_cell_angle_alpha 90.00
_cell_angle_beta 120.01
_cell_angle_gamma 90.00
loop_
_atom_site_label
_atom_site_type_symbol
_atom_site_fract_x
_atom_site_fract_y
_atom_site_fract_z
Ir1 Ir 0.250 0.250 0.000
Ru1 Ru 0.000 0.000 0.000
Rh1 Rh 0.000 0.500 0.000